# 1
# AcTbPrHg (GGA-PBE, relaxed)
# Formation energy ... -0.219 eV per atom
# Distance to the lowest polymorph of the same formula ... 0.000 eV per atom
data_AcTbPrHg
_cell_length_a 3.818
_cell_length_b 3.818
_cell_length_c 9.020
_cell_angle_alpha 90.00
_cell_angle_beta 90.00
_cell_angle_gamma 90.00
_symmetry_space_group_name_H-M 'P 4 m m'
_symmetry_Int_Tables_number 99
_symmetry_space_group_name_Hall 'P 4 -2'
loop_
_atom_site_label
_atom_site_fract_x
_atom_site_fract_y
_atom_site_fract_z
Ac1 0.000 0.000 0.000
Tb1 0.500 0.500 0.286
Pr1 0.500 0.500 0.703
Hg1 0.000 0.000 0.477



# 2
# SrGe2BiO (GGA-PBE, relaxed)
# ΔE_f (raw) ... -333 meV/atom
data_SrGe2BiO
_cell_length_a 4.783
_cell_length_b 4.783
_cell_length_c 4.919
_cell_angle_alpha 90.00
_cell_angle_beta 90.00
_cell_angle_gamma 90.00
_symmetry_space_group_name_H-M 'P 4/m m m'
_symmetry_Int_Tables_number 123
_symmetry_space_group_name_Hall '-P 4 2'
loop_
_atom_site_label
_atom_site_fract_x
_atom_site_fract_y
_atom_site_fract_z
Sr1 0.000 0.000 0.000
Ge1 0.000 0.500 0.500
Bi1 0.500 0.500 0.000
O1 0.500 0.500 0.500



# 3
# MgIn6Hg (GGA-PBE, relaxed)
# Formation energy ... 0.011 eV per atom
# Distance to the lowest polymorph of the same formula ... 0.022 eV per atom
data_MgIn6Hg
_cell_length_a 6.611
_cell_length_b 11.199
_cell_length_c 5.659
_cell_angle_alpha 90.00
_cell_angle_beta 90.00
_cell_angle_gamma 90.00
_symmetry_space_group_name_H-M 'C m m m'
_symmetry_Int_Tables_number 65
_symmetry_space_group_name_Hall '-C 2 2'
loop_
_atom_site_label
_atom_site_fract_x
_atom_site_fract_y
_atom_site_fract_z
Mg1 0.000 0.000 0.000
In1 0.000 0.247 0.500
In2 0.246 0.500 0.500
In3 0.250 0.250 0.000
Hg1 0.000 0.500 0.000



# 4
# LiPa2Tl2S6 (GGA-PBE, relaxed)
# ΔE_f (raw) ... -1266 meV/atom
data_LiPa2Tl2S6
_cell_length_a 6.878
_cell_length_b 12.169
_cell_length_c 7.815
_cell_angle_alpha 90.00
_cell_angle_beta 105.54
_cell_angle_gamma 90.00
_symmetry_space_group_name_H-M 'C 1 2/m 1'
_symmetry_Int_Tables_number 12
_symmetry_space_group_name_Hall '-C 2y'
loop_
_atom_site_label
_atom_site_fract_x
_atom_site_fract_y
_atom_site_fract_z
Li1 0.000 0.000 0.000
Pa1 0.000 0.335 0.000
Tl1 0.000 0.157 0.500
S1 0.221 0.500 0.183
S2 0.237 0.181 0.197



# 5
# KTl3Ga2I6 (GGA-PBE, relaxed)
# ΔE_f (raw) ... -687 meV/atom
data_KTl3Ga2I6
_cell_length_a 8.518
_cell_length_b 14.723
_cell_length_c 8.535
_cell_angle_alpha 90.00
_cell_angle_beta 109.36
_cell_angle_gamma 90.00
_symmetry_space_group_name_H-M 'C 1 2/m 1'
_symmetry_Int_Tables_number 12
_symmetry_space_group_name_Hall '-C 2y'
loop_
_atom_site_label
_atom_site_fract_x
_atom_site_fract_y
_atom_site_fract_z
K1 0.000 0.000 0.000
Tl1 0.000 0.162 0.500
Tl2 0.000 0.500 0.500
Ga1 0.000 0.333 0.000
I1 0.231 0.500 0.231
I2 0.247 0.327 0.761



# 6
# AsP2CCl (GGA-PBE, relaxed)
# ΔE_f (raw) ... 2055 meV/atom
# Distance to the lowest polymorph of the same formula ... 0.797 eV per atom
data_AsP2CCl
_cell_length_a 4.840
_cell_length_b 4.840
_cell_length_c 4.832
_cell_angle_alpha 90.00
_cell_angle_beta 90.00
_cell_angle_gamma 90.00
_symmetry_space_group_name_H-M 'P 4/m m m'
_symmetry_Int_Tables_number 123
_symmetry_space_group_name_Hall '-P 4 2'
loop_
_atom_site_label
_atom_site_fract_x
_atom_site_fract_y
_atom_site_fract_z
As1 0.000 0.000 0.000
P1 0.000 0.500 0.000
C1 0.500 0.500 0.500
Cl1 0.000 0.000 0.500



# 7
# AcLa3Tb2 (GGA-PBE, relaxed)
# Formation energy ... 0.038 eV per atom
# Distance to the lowest polymorph of the same formula ... 0.000 eV per atom
data_AcLa3Tb2
_cell_length_a 10.554
_cell_length_b 7.448
_cell_length_c 12.341
_cell_angle_alpha 90.00
_cell_angle_beta 115.30
_cell_angle_gamma 90.00
_symmetry_space_group_name_H-M 'C 1 2/c 1'
_symmetry_Int_Tables_number 15
_symmetry_space_group_name_Hall '-C 2yc'
loop_
_atom_site_label
_atom_site_fract_x
_atom_site_fract_y
_atom_site_fract_z
Ac1 0.000 0.125 0.250
La1 0.000 0.375 0.750
La2 0.165 0.375 0.081
Tb1 0.166 0.125 0.582



# 8
# MnAl3B (GGA-PBE, relaxed)
# Formation energy ... 0.403 eV per atom
# Distance to the lowest polymorph of the same formula ... 0.000 eV per atom
data_MnAl3B
_cell_length_a 4.169
_cell_length_b 4.169
_cell_length_c 4.169
_cell_angle_alpha 90.00
_cell_angle_beta 90.00
_cell_angle_gamma 90.00
_symmetry_space_group_name_H-M 'P m -3 m'
_symmetry_Int_Tables_number 221
_symmetry_space_group_name_Hall '-P 4 2 3'
loop_
_atom_site_label
_atom_site_fract_x
_atom_site_fract_y
_atom_site_fract_z
Mn1 0.000 0.000 0.000
Al1 0.000 0.500 0.500
B1 0.500 0.500 0.500



Please write out number 3 again, unchanged.
# MgIn6Hg (GGA-PBE, relaxed)
# Formation energy ... 0.011 eV per atom
# Distance to the lowest polymorph of the same formula ... 0.022 eV per atom
data_MgIn6Hg
_cell_length_a 6.611
_cell_length_b 11.199
_cell_length_c 5.659
_cell_angle_alpha 90.00
_cell_angle_beta 90.00
_cell_angle_gamma 90.00
_symmetry_space_group_name_H-M 'C m m m'
_symmetry_Int_Tables_number 65
_symmetry_space_group_name_Hall '-C 2 2'
loop_
_atom_site_label
_atom_site_fract_x
_atom_site_fract_y
_atom_site_fract_z
Mg1 0.000 0.000 0.000
In1 0.000 0.247 0.500
In2 0.246 0.500 0.500
In3 0.250 0.250 0.000
Hg1 0.000 0.500 0.000



Copy entry 8 word for word.
# MnAl3B (GGA-PBE, relaxed)
# Formation energy ... 0.403 eV per atom
# Distance to the lowest polymorph of the same formula ... 0.000 eV per atom
data_MnAl3B
_cell_length_a 4.169
_cell_length_b 4.169
_cell_length_c 4.169
_cell_angle_alpha 90.00
_cell_angle_beta 90.00
_cell_angle_gamma 90.00
_symmetry_space_group_name_H-M 'P m -3 m'
_symmetry_Int_Tables_number 221
_symmetry_space_group_name_Hall '-P 4 2 3'
loop_
_atom_site_label
_atom_site_fract_x
_atom_site_fract_y
_atom_site_fract_z
Mn1 0.000 0.000 0.000
Al1 0.000 0.500 0.500
B1 0.500 0.500 0.500



Repeat the seventh record exactly.
# AcLa3Tb2 (GGA-PBE, relaxed)
# Formation energy ... 0.038 eV per atom
# Distance to the lowest polymorph of the same formula ... 0.000 eV per atom
data_AcLa3Tb2
_cell_length_a 10.554
_cell_length_b 7.448
_cell_length_c 12.341
_cell_angle_alpha 90.00
_cell_angle_beta 115.30
_cell_angle_gamma 90.00
_symmetry_space_group_name_H-M 'C 1 2/c 1'
_symmetry_Int_Tables_number 15
_symmetry_space_group_name_Hall '-C 2yc'
loop_
_atom_site_label
_atom_site_fract_x
_atom_site_fract_y
_atom_site_fract_z
Ac1 0.000 0.125 0.250
La1 0.000 0.375 0.750
La2 0.165 0.375 0.081
Tb1 0.166 0.125 0.582



Copy entry 7 word for word.
# AcLa3Tb2 (GGA-PBE, relaxed)
# Formation energy ... 0.038 eV per atom
# Distance to the lowest polymorph of the same formula ... 0.000 eV per atom
data_AcLa3Tb2
_cell_length_a 10.554
_cell_length_b 7.448
_cell_length_c 12.341
_cell_angle_alpha 90.00
_cell_angle_beta 115.30
_cell_angle_gamma 90.00
_symmetry_space_group_name_H-M 'C 1 2/c 1'
_symmetry_Int_Tables_number 15
_symmetry_space_group_name_Hall '-C 2yc'
loop_
_atom_site_label
_atom_site_fract_x
_atom_site_fract_y
_atom_site_fract_z
Ac1 0.000 0.125 0.250
La1 0.000 0.375 0.750
La2 0.165 0.375 0.081
Tb1 0.166 0.125 0.582